## Er2CoBi (PBE)

Data for an optimized crystal structure of Er2CoBi.

Cell lengths 3.712, 3.712, 28.299 Å; angles 90.00, 90.00, 120.00 degrees
Fractional positions:
Er 0.000 0.000 0.114
Er 0.000 0.000 0.886
Er 0.333 0.667 0.553
Er 0.333 0.667 0.781
Er 0.667 0.333 0.219
Er 0.667 0.333 0.447
Co 0.000 0.000 0.500
Co 0.333 0.667 0.167
Co 0.667 0.333 0.833
Bi 0.000 0.000 0.000
Bi 0.333 0.667 0.667
Bi 0.667 0.333 0.333

Computed properties:
magnetic moment = 0.0 μB per cell
Fermi-level density of states = 3.9 states/eV per cell
space group = R-3m
volume = 28.13 A^3/atom
relative energy among the computed polymorphs = 346.8 meV per atom
ΔH_f (0 K) = -0.108 eV/atom

***

## Er3CoBi2 (PBE)

Data for an optimized crystal structure of Er3CoBi2.

Cell lengths 6.037, 15.892, 3.539 Å; angles 90.00, 90.00, 90.00 degrees
Fractional positions:
Er 0.000 0.000 0.000
Er 0.000 0.384 0.500
Er 0.000 0.616 0.500
Er 0.500 0.116 0.500
Er 0.500 0.500 0.000
Er 0.500 0.884 0.500
Co 0.000 0.500 0.000
Co 0.500 0.000 0.000
Bi 0.000 0.175 0.500
Bi 0.000 0.825 0.500
Bi 0.500 0.325 0.500
Bi 0.500 0.675 0.500

Computed properties:
magnetic moment = 0.0 μB per cell
Fermi-level density of states = 7.6 states/eV per cell
space group = Cmmm
volume = 28.29 A^3/atom
ΔH_f (0 K) = -0.280 eV/atom

***

## Er7Co2Bi2 (PBE)

Data for an optimized crystal structure of Er7Co2Bi2.

Cell lengths 9.657, 9.657, 9.657 Å; angles 158.37, 65.57, 118.95 degrees
Fractional positions:
Er 0.000 0.000 0.000
Er 0.303 0.441 0.862
Er 0.317 0.634 0.683
Er 0.579 0.441 0.138
Er 0.631 0.288 0.343
Er 0.945 0.288 0.657
Er 0.951 0.634 0.317
Co 0.184 0.946 0.238
Co 0.708 0.946 0.762
Bi 0.274 0.774 0.500
Bi 0.676 0.676 0.000

Computed properties:
magnetic moment = 0.0 μB per cell
Fermi-level density of states = 9.9 states/eV per cell
space group = Imm2
volume = 26.24 A^3/atom
ΔH_f (0 K) = -0.387 eV/atom

***

## Er6Co2Bi (PBE)

Data for an optimized crystal structure of Er6Co2Bi.

Cell lengths 8.365, 8.365, 8.365 Å; angles 111.93, 109.66, 106.86 degrees
Fractional positions:
Er 0.022 0.235 0.787
Er 0.184 0.286 0.470
Er 0.184 0.714 0.898
Er 0.324 0.008 0.684
Er 0.324 0.641 0.316
Er 0.449 0.235 0.213
Er 0.551 0.765 0.787
Er 0.676 0.359 0.684
Er 0.676 0.992 0.316
Er 0.816 0.286 0.102
Er 0.816 0.714 0.530
Er 0.978 0.765 0.213
Co 0.113 0.613 0.500
Co 0.345 0.000 0.345
Co 0.655 0.000 0.655
Co 0.887 0.387 0.500
Bi 0.000 0.000 0.000
Bi 0.500 0.500 0.000

Computed properties:
magnetic moment = 0.0 μB per cell
Fermi-level density of states = 12.6 states/eV per cell
space group = Immm
volume = 24.99 A^3/atom
ΔH_f (0 K) = -0.329 eV/atom

***

## Er6CoBi3 (PBE)

Data for an optimized crystal structure of Er6CoBi3.

Cell lengths 9.156, 9.156, 7.505 Å; angles 90.00, 90.00, 103.05 degrees
Fractional positions:
Er 0.011 0.989 0.500
Er 0.091 0.609 0.416
Er 0.242 0.758 0.971
Er 0.294 0.376 0.932
Er 0.376 0.294 0.432
Er 0.391 0.909 0.416
Er 0.609 0.091 0.916
Er 0.624 0.706 0.932
Er 0.706 0.624 0.432
Er 0.758 0.242 0.471
Er 0.909 0.391 0.916
Er 0.989 0.011 0.000
Co 0.136 0.864 0.246
Co 0.864 0.136 0.746
Bi 0.073 0.293 0.253
Bi 0.293 0.073 0.753
Bi 0.393 0.607 0.622
Bi 0.607 0.393 0.122
Bi 0.707 0.927 0.253
Bi 0.927 0.707 0.753

Computed properties:
magnetic moment = 0.0 μB per cell
Fermi-level density of states = 20.1 states/eV per cell
space group = Cmc2_1
volume = 30.64 A^3/atom
ΔH_f (0 K) = -0.301 eV/atom

***

## Er3CoBi (PBE)

Data for an optimized crystal structure of Er3CoBi.

Cell lengths 7.955, 4.269, 8.357 Å; angles 90.00, 114.59, 90.00 degrees
Fractional positions:
Er 0.038 0.250 0.249
Er 0.318 0.750 0.592
Er 0.328 0.250 0.913
Er 0.672 0.750 0.087
Er 0.682 0.250 0.408
Er 0.962 0.750 0.751
Co 0.068 0.250 0.586
Co 0.932 0.750 0.414
Bi 0.324 0.750 0.202
Bi 0.676 0.250 0.798

Computed properties:
magnetic moment = 0.0 μB per cell
Fermi-level density of states = 7.8 states/eV per cell
space group = P2_1/m
volume = 25.81 A^3/atom
relative energy among the computed polymorphs = 0.0 meV per atom
ΔH_f (0 K) = -0.451 eV/atom

***

## Er8Co3Bi2 (PBE)

Data for an optimized crystal structure of Er8Co3Bi2.

Cell lengths 8.784, 8.784, 6.503 Å; angles 101.13, 101.13, 48.54 degrees
Fractional positions:
Er 0.078 0.078 0.370
Er 0.157 0.644 0.129
Er 0.356 0.843 0.871
Er 0.384 0.384 0.630
Er 0.616 0.616 0.370
Er 0.644 0.157 0.129
Er 0.843 0.356 0.871
Er 0.922 0.922 0.630
Co 0.297 0.703 0.500
Co 0.500 0.500 0.000
Co 0.703 0.297 0.500
Bi 0.240 0.240 0.185
Bi 0.760 0.760 0.815

Computed properties:
magnetic moment = 0.0 μB per cell
Fermi-level density of states = 7.6 states/eV per cell
space group = C2/m
volume = 28.27 A^3/atom
ΔH_f (0 K) = -0.282 eV/atom

***

## Er5CoBi4 (PBE)

Data for an optimized crystal structure of Er5CoBi4.

Cell lengths 7.504, 7.504, 7.504 Å; angles 99.97, 99.97, 130.82 degrees
Fractional positions:
Er 0.000 0.000 0.000
Er 0.084 0.265 0.632
Er 0.265 0.633 0.181
Er 0.452 0.084 0.819
Er 0.633 0.452 0.368
Co 0.425 0.425 0.000
Bi 0.153 0.943 0.385
Bi 0.558 0.768 0.615
Bi 0.768 0.153 0.210
Bi 0.943 0.558 0.790

Computed properties:
magnetic moment = 0.0 μB per cell
Fermi-level density of states = 1.1 states/eV per cell
space group = I4
volume = 29.08 A^3/atom
ΔH_f (0 K) = -0.531 eV/atom

***

## Er12Co6Bi (PBE)

Data for an optimized crystal structure of Er12Co6Bi.

Cell lengths 8.324, 8.324, 8.324 Å; angles 109.47, 109.47, 109.47 degrees
Fractional positions:
Er 0.109 0.803 0.306
Er 0.197 0.306 0.502
Er 0.197 0.694 0.891
Er 0.306 0.109 0.803
Er 0.306 0.502 0.197
Er 0.498 0.803 0.694
Er 0.502 0.197 0.306
Er 0.694 0.498 0.803
Er 0.694 0.891 0.197
Er 0.803 0.306 0.109
Er 0.803 0.694 0.498
Er 0.891 0.197 0.694
Co 0.113 0.613 0.500
Co 0.387 0.500 0.887
Co 0.500 0.113 0.613
Co 0.500 0.887 0.387
Co 0.613 0.500 0.113
Co 0.887 0.387 0.500
Bi 0.000 0.000 0.000

Computed properties:
magnetic moment = 0.0 μB per cell
Fermi-level density of states = 8.8 states/eV per cell
space group = Im-3
volume = 23.37 A^3/atom
ΔH_f (0 K) = -0.313 eV/atom

***

## Er3CoBi (PBE)

Data for an optimized crystal structure of Er3CoBi.

Cell lengths 5.127, 5.127, 5.127 Å; angles 90.00, 90.00, 90.00 degrees
Fractional positions:
Er 0.000 0.000 0.500
Er 0.000 0.500 0.000
Er 0.500 0.000 0.000
Co 0.000 0.000 0.000
Bi 0.500 0.500 0.500

Computed properties:
magnetic moment = 0.0 μB per cell
Fermi-level density of states = 2.3 states/eV per cell
space group = Pm-3m
volume = 26.95 A^3/atom
relative energy among the computed polymorphs = 91.3 meV per atom
ΔH_f (0 K) = -0.360 eV/atom

***

## LiErCoBi (PBE)

Data for an optimized crystal structure of LiErCoBi.

Cell lengths 6.589, 6.589, 6.589 Å; angles 90.00, 90.00, 90.00 degrees
Fractional positions:
Li 0.000 0.000 0.000
Li 0.000 0.500 0.500
Li 0.500 0.000 0.500
Li 0.500 0.500 0.000
Er 0.250 0.250 0.250
Er 0.250 0.750 0.750
Er 0.750 0.250 0.750
Er 0.750 0.750 0.250
Co 0.000 0.000 0.500
Co 0.000 0.500 0.000
Co 0.500 0.000 0.000
Co 0.500 0.500 0.500
Bi 0.250 0.250 0.750
Bi 0.250 0.750 0.250
Bi 0.750 0.250 0.250
Bi 0.750 0.750 0.750

Computed properties:
magnetic moment = 0.0 μB per cell
Fermi-level density of states = 7.7 states/eV per cell
space group = F-43m
volume = 17.88 A^3/atom
ΔH_f (0 K) = -0.311 eV/atom

***

magnetic moment of number 3 (Er7Co2Bi2)?
0.0 μB per cell